A geometry-optimized Mg2BeW structure, computed with PBE. Values from VASP.

```
&SYSTEM
  ibrav = 0, nat = 4, ntyp = 3
/
ATOMIC_SPECIES
Be 9.01 Be.upf
Mg 24.30 Mg.upf
W 183.84 W.upf
CELL_PARAMETERS angstrom
5.098 0.006 0.051
4.333 2.687 0.051
1.788 0.511 4.647
ATOMIC_POSITIONS crystal
Be 0.254 0.254 0.337
Mg 0.974 0.974 0.965
Mg 0.747 0.747 0.783
W 0.525 0.525 0.416
```

Summary:
Energy relative to the elements   0.4529 eV/atom
Space-group type   Cm, No. 8
M_tot   0.00 μB/atom
E   -4.514 eV per atom

A geometry-optimized Mg2BeW structure, computed with PBE. Values from VASP.

```
&SYSTEM
  ibrav = 0, nat = 4, ntyp = 3
/
ATOMIC_SPECIES
Be 9.01 Be.upf
Mg 24.30 Mg.upf
W 183.84 W.upf
CELL_PARAMETERS angstrom
2.777 0.016 0.000
-0.506 2.730 0.000
0.000 0.000 8.568
ATOMIC_POSITIONS crystal
Be 0.500 0.500 0.733
Mg 0.000 0.000 0.959
Mg 0.500 0.500 0.272
W 0.000 0.000 0.535
```

Summary:
Energy relative to the elements   0.3035 eV/atom
Space-group type   Cmm2, No. 35
M_tot   0.00 μB/atom
E   -4.664 eV per atom

A geometry-optimized Mg2BeW structure, computed with PBE. Values from VASP.

```
&SYSTEM
  ibrav = 0, nat = 4, ntyp = 3
/
ATOMIC_SPECIES
Be 9.01 Be.upf
Mg 24.30 Mg.upf
W 183.84 W.upf
CELL_PARAMETERS angstrom
2.741 0.045 0.000
-0.497 2.695 0.000
0.000 0.000 8.624
ATOMIC_POSITIONS crystal
Be 0.500 0.500 0.750
Mg 0.000 0.000 0.984
Mg 0.000 0.000 0.516
W 0.500 0.500 0.250
```

Summary:
Energy relative to the elements   0.4342 eV/atom
Space-group type   Cmmm, No. 65
M_tot   0.00 μB/atom
E   -4.533 eV per atom

- What is the formula in the second record?
  Mg2BeW

- Which value of energy relative to the elements does entry 2 give?
  0.3035 eV/atom

- Among the records above, which one has the highest energy relative to the elements?
  number 1

Please write out number 3 again, unchanged.
A geometry-optimized Mg2BeW structure, computed with PBE. Values from VASP.

```
&SYSTEM
  ibrav = 0, nat = 4, ntyp = 3
/
ATOMIC_SPECIES
Be 9.01 Be.upf
Mg 24.30 Mg.upf
W 183.84 W.upf
CELL_PARAMETERS angstrom
2.741 0.045 0.000
-0.497 2.695 0.000
0.000 0.000 8.624
ATOMIC_POSITIONS crystal
Be 0.500 0.500 0.750
Mg 0.000 0.000 0.984
Mg 0.000 0.000 0.516
W 0.500 0.500 0.250
```

Summary:
Energy relative to the elements   0.4342 eV/atom
Space-group type   Cmmm, No. 65
M_tot   0.00 μB/atom
E   -4.533 eV per atom